VASP calculation (PBEsol) on a relaxed Y3BeBi crystal.

abc: 5.1185 5.1185 5.1185
angles: 90.00 90.00 90.00
Sites, in units of the cell vectors:
Y1 0.0000 0.0000 0.5000
Y2 0.0000 0.5000 0.0000
Y3 0.5000 0.0000 0.0000
Be1 0.0000 0.0000 0.0000
Bi1 0.5000 0.5000 0.5000

## Properties
* raw total energy: -5.944 eV/atom
* space group: No. 221
* energy relative to the elements: -0.194 eV per atom